DFT (PBE-GGA) results for a relaxed structure of CaCd2PbSe.

Lattice parameters (Å, degrees): 5.4737 6.9159 5.4737 90.00 90.00 90.00
Closest atoms and distances in Å follow each position.
Element x y z (fractional)
Pb (0.0000, 0.0000, 0.0000)  4 Cd 2.74
Ca (0.0000, 0.5000, 0.0000)  2 Pb 3.46, 4 Se 3.87
Se (0.5000, 0.5000, 0.5000)  4 Ca 3.87
Cd (0.0000, 0.0000, 0.5000)  2 Pb 2.74
Cd (0.5000, 0.0000, 0.0000)  2 Pb 2.74

Final energy = -2.10 eV/atom
Volume = 207.2 Å³ per cell
Density of states at the Fermi level = 1.8 states/eV/cell
SG = P4/mmm, No. 123